This record from the Alexandria database describes SeCl after structural relaxation. The functional is PBE.

Cell and atoms, written as POSCAR:
```
SeCl
1.0
8.0955 0.0000 0.0000
0.0000 8.0955 0.0000
0.0000 0.0000 4.9210
Se Cl
4 4
Direct
0.1027 0.1027 0.0000
0.3973 0.6027 0.5000
0.6027 0.3973 0.5000
0.8973 0.8973 0.0000
0.1380 0.1380 0.5000
0.3620 0.6380 0.0000
0.6380 0.3620 0.0000
0.8620 0.8620 0.5000
```

Calculated values
* N(E_F): 0.52 states/eV/atom
* theoretical density: 2.4 g/cm3
* raw formation energy: 0.012 eV per atom


This record from the Alexandria database describes SeCl4 after structural relaxation. The functional is PBE.

Cell and atoms, written as POSCAR:
```
SeCl4
1.0
4.9963 0.0000 0.0000
0.0000 4.9963 0.0000
0.0000 0.0000 4.9963
Se Cl
1 4
Direct
0.0000 0.0000 0.0000
0.0000 0.0000 0.5000
0.0000 0.5000 0.0000
0.5000 0.0000 0.0000
0.5000 0.5000 0.5000
```

Calculated values
* N(E_F): 1.40 states/eV/atom
* theoretical density: 2.9 g/cm3
* raw formation energy: 0.154 eV per atom
* energy relative to the lowest polymorph listed for this composition: 499 meV per atom


This record from the Alexandria database describes SeCl after structural relaxation. The functional is PBE.

Cell and atoms, written as POSCAR:
```
SeCl
1.0
4.5897 0.0000 0.0000
0.0000 5.0212 0.0000
-1.9302 0.0000 6.8004
Se Cl
2 2
Direct
0.0762 0.2500 0.4859
0.9238 0.7500 0.5141
0.2153 0.7500 0.8160
0.7847 0.2500 0.1840
```

Calculated values
* theoretical density: 2.4 g/cm3
* raw formation energy: -0.066 eV per atom


This record from the Alexandria database describes SeCl4 after structural relaxation. The functional is PBE.

Cell and atoms, written as POSCAR:
```
SeCl4
1.0
8.9909 -5.2328 0.0000
8.9909 5.2328 0.0000
-7.3594 0.0000 14.6003
Se Cl
8 32
Direct
0.2381 0.7566 0.6197
0.2434 0.7619 0.8803
0.3481 0.3917 0.1879
0.3917 0.3481 0.6879
0.6083 0.6519 0.3121
0.6519 0.6083 0.8121
0.7566 0.2381 0.1197
0.7619 0.2434 0.3803
0.0259 0.9678 0.6306
0.0322 0.9741 0.8694
0.1423 0.6267 0.6945
0.1465 0.6148 0.1939
0.1473 0.6391 0.4802
0.1532 0.6492 0.9214
0.2646 0.2883 0.0418
0.2706 0.2889 0.2457
0.2883 0.2646 0.5418
0.2889 0.2706 0.7457
0.3508 0.8468 0.5786
0.3609 0.8527 0.0198
0.3733 0.8577 0.8055
0.3852 0.8535 0.3061
0.4921 0.5045 0.1367
0.4955 0.5079 0.3633
0.5045 0.4921 0.6367
0.5079 0.4955 0.8633
0.6148 0.1465 0.6939
0.6267 0.1423 0.1945
0.6391 0.1473 0.9802
0.6492 0.1532 0.4214
0.7111 0.7294 0.2543
0.7117 0.7354 0.4582
0.7294 0.7111 0.7543
0.7354 0.7117 0.9582
0.8468 0.3508 0.0786
0.8527 0.3609 0.5198
0.8535 0.3852 0.8061
0.8577 0.3733 0.3055
0.9678 0.0259 0.1306
0.9741 0.0322 0.3694
```

Calculated values
* N(E_F): 0.00 states/eV/atom
* theoretical density: 2.1 g/cm3
* raw formation energy: -0.345 eV per atom
* energy relative to the lowest polymorph listed for this composition: 0 meV per atom


This record from the Alexandria database describes SeCl3 after structural relaxation. The functional is PBE.

Cell and atoms, written as POSCAR:
```
SeCl3
1.0
5.4928 0.0000 0.0000
0.0000 5.4928 0.0000
0.0000 0.0000 5.4928
Se Cl
2 6
Direct
0.0000 0.0000 0.0000
0.5000 0.5000 0.5000
0.0000 0.2500 0.5000
0.0000 0.7500 0.5000
0.2500 0.5000 0.0000
0.5000 0.0000 0.2500
0.5000 0.0000 0.7500
0.7500 0.5000 0.0000
```

Calculated values
* N(E_F): 1.11 states/eV/atom
* theoretical density: 3.7 g/cm3
* raw formation energy: 0.662 eV per atom


This record from the Alexandria database describes SeCl3 after structural relaxation. The functional is PBE.

Cell and atoms, written as POSCAR:
```
SeCl3
1.0
3.0790 -3.9290 0.0000
3.0790 3.9290 0.0000
0.0000 0.0000 3.3883
Se Cl
1 3
Direct
0.0000 0.0000 0.0000
0.0000 0.5000 0.5000
0.5000 0.0000 0.5000
0.5000 0.5000 0.0000
```

Calculated values
* N(E_F): 1.40 states/eV/atom
* theoretical density: 3.8 g/cm3
* raw formation energy: 0.724 eV per atom


This record from the Alexandria database describes SeCl after structural relaxation. The functional is PBE.

Cell and atoms, written as POSCAR:
```
SeCl
1.0
4.9503 0.0000 0.0000
-2.4751 4.2871 0.0000
0.0000 0.0000 4.9886
Se Cl
2 2
Direct
0.0000 0.0000 0.0000
0.0000 0.0000 0.5000
0.3333 0.6667 0.2500
0.6667 0.3333 0.7500
```

Calculated values
* N(E_F): 1.68 states/eV/atom
* theoretical density: 3.6 g/cm3
* raw formation energy: 0.519 eV per atom


This record from the Alexandria database describes SeCl3 after structural relaxation. The functional is PBE.

Cell and atoms, written as POSCAR:
```
SeCl3
1.0
4.0415 2.3333 1.6458
-4.0415 2.3333 1.6458
0.0000 -4.6667 1.6458
Se Cl
1 3
Direct
0.0000 0.0000 0.0000
0.0000 0.5000 0.5000
0.5000 0.0000 0.5000
0.5000 0.5000 0.0000
```

Calculated values
* N(E_F): 1.75 states/eV/atom
* theoretical density: 3.3 g/cm3
* raw formation energy: 0.548 eV per atom